1.
{
  "formula": "BaZr2As",
  "functional": "PBE-GGA",
  "state": "optimized geometry",
  "total_energy_ev_per_atom": -6.086,
  "lattice": [[11.372, 0.000, 0.000], [0.000, 3.567, 0.000], [-2.002, 0.000, 5.525]],
  "species": ["Ba", "Ba", "Zr", "Zr", "Zr", "Zr", "As", "As"],
  "fractional_positions": [[0.000, 0.000, 0.000], [0.500, 0.500, 0.000], [0.190, 0.000, 0.653], [0.310, 0.500, 0.347], [0.690, 0.500, 0.653], [0.810, 0.000, 0.347], [0.000, 0.500, 0.500], [0.500, 0.000, 0.500]]
}

---

2.
{
  "formula": "BaZrAs",
  "functional": "PBE-GGA",
  "state": "optimized geometry",
  "relative_energy_ev_per_atom": 0.754,
  "total_energy_ev_per_atom": -5.142,
  "lattice": [[7.206, 0.000, 0.000], [0.000, 7.206, 0.000], [0.000, 0.000, 7.206]],
  "species": ["Ba", "Ba", "Ba", "Ba", "Zr", "Zr", "Zr", "Zr", "As", "As", "As", "As"],
  "fractional_positions": [[0.000, 0.000, 0.000], [0.000, 0.500, 0.500], [0.500, 0.000, 0.500], [0.500, 0.500, 0.000], [0.000, 0.000, 0.500], [0.000, 0.500, 0.000], [0.500, 0.000, 0.000], [0.500, 0.500, 0.500], [0.250, 0.250, 0.750], [0.250, 0.750, 0.250], [0.750, 0.250, 0.250], [0.750, 0.750, 0.750]]
}

---

3.
{
  "formula": "Ba4ZrAs4",
  "functional": "PBE-GGA",
  "state": "optimized geometry",
  "total_energy_ev_per_atom": -4.978,
  "lattice": [[9.506, 0.000, 0.000], [0.000, 9.506, 0.000], [0.000, 0.000, 7.246]],
  "species": ["Ba", "Ba", "Ba", "Ba", "Ba", "Ba", "Ba", "Ba", "Zr", "Zr", "As", "As", "As", "As", "As", "As", "As", "As"],
  "fractional_positions": [[0.025, 0.250, 0.085], [0.250, 0.025, 0.585], [0.250, 0.475, 0.585], [0.475, 0.250, 0.085], [0.525, 0.750, 0.915], [0.750, 0.525, 0.415], [0.750, 0.975, 0.415], [0.975, 0.750, 0.915], [0.250, 0.750, 0.250], [0.750, 0.250, 0.750], [0.023, 0.750, 0.456], [0.250, 0.523, 0.044], [0.250, 0.977, 0.044], [0.477, 0.750, 0.456], [0.523, 0.250, 0.544], [0.750, 0.023, 0.956], [0.750, 0.477, 0.956], [0.977, 0.250, 0.544]]
}

---

4.
{
  "formula": "BaZr2As",
  "functional": "PBE-GGA",
  "state": "optimized geometry",
  "total_energy_ev_per_atom": -6.057,
  "lattice": [[3.674, 0.000, 0.000], [0.000, 4.076, 0.000], [0.000, 0.000, 15.992]],
  "species": ["Ba", "Ba", "Zr", "Zr", "Zr", "Zr", "As", "As"],
  "fractional_positions": [[0.000, 0.000, 0.000], [0.500, 0.500, 0.500], [0.000, 0.000, 0.670], [0.000, 0.500, 0.807], [0.500, 0.000, 0.307], [0.500, 0.500, 0.170], [0.000, 0.500, 0.306], [0.500, 0.000, 0.806]]
}

---

5.
{
  "formula": "BaZr2As",
  "functional": "PBE-GGA",
  "state": "optimized geometry",
  "total_energy_ev_per_atom": -5.626,
  "lattice": [[7.425, 0.000, 0.000], [0.000, 7.425, 0.000], [0.000, 0.000, 7.425]],
  "species": ["Ba", "Ba", "Ba", "Ba", "Zr", "Zr", "Zr", "Zr", "Zr", "Zr", "Zr", "Zr", "As", "As", "As", "As"],
  "fractional_positions": [[0.000, 0.000, 0.000], [0.000, 0.500, 0.500], [0.500, 0.000, 0.500], [0.500, 0.500, 0.000], [0.000, 0.000, 0.500], [0.000, 0.500, 0.000], [0.250, 0.250, 0.250], [0.250, 0.750, 0.750], [0.500, 0.000, 0.000], [0.500, 0.500, 0.500], [0.750, 0.250, 0.750], [0.750, 0.750, 0.250], [0.250, 0.250, 0.750], [0.250, 0.750, 0.250], [0.750, 0.250, 0.250], [0.750, 0.750, 0.750]]
}

---

6.
{
  "formula": "BaZrAs",
  "functional": "PBE-GGA",
  "state": "optimized geometry",
  "relative_energy_ev_per_atom": 0.428,
  "total_energy_ev_per_atom": -5.467,
  "lattice": [[4.092, 0.000, 0.000], [-2.046, 3.544, 0.000], [0.000, 0.000, 6.786]],
  "species": ["Ba", "Zr", "As"],
  "fractional_positions": [[0.000, 0.000, 0.000], [0.667, 0.333, 0.483], [0.333, 0.667, 0.661]]
}

---

7.
{
  "formula": "BaZrAs3",
  "functional": "PBE-GGA",
  "state": "optimized geometry",
  "relative_energy_ev_per_atom": 1.915,
  "total_energy_ev_per_atom": -3.627,
  "lattice": [[5.552, 0.000, 0.000], [0.000, 5.552, 0.000], [0.000, 0.000, 5.552]],
  "species": ["Ba", "Zr", "As", "As", "As"],
  "fractional_positions": [[0.000, 0.000, 0.000], [0.500, 0.500, 0.500], [0.000, 0.000, 0.500], [0.000, 0.500, 0.000], [0.500, 0.000, 0.000]]
}

---

8.
{
  "formula": "BaZr2As",
  "functional": "PBE-GGA",
  "state": "optimized geometry",
  "total_energy_ev_per_atom": -6.123,
  "lattice": [[3.781, 0.000, 0.000], [-1.890, 3.274, 0.000], [0.000, 0.000, 28.105]],
  "species": ["Ba", "Ba", "Ba", "Zr", "Zr", "Zr", "Zr", "Zr", "Zr", "As", "As", "As"],
  "fractional_positions": [[0.000, 0.000, 0.000], [0.333, 0.667, 0.667], [0.667, 0.333, 0.333], [0.000, 0.000, 0.221], [0.000, 0.000, 0.779], [0.333, 0.667, 0.446], [0.333, 0.667, 0.887], [0.667, 0.333, 0.113], [0.667, 0.333, 0.554], [0.000, 0.000, 0.500], [0.333, 0.667, 0.167], [0.667, 0.333, 0.833]]
}

---

V (computed, Å³/atom): 28.0 31.2 36.4 29.9 25.6 32.8 34.2 29.0